No. 1
First-principles (GGA-PBE) data for RbAsBr3 after structural relaxation, as listed in Alexandria via LeMat-Bulk.

Unit cell a=6.0756 b=8.4729 c=9.0183 alpha=108.59 beta=105.00 gamma=100.48
With the nearest neighbours (Å) after each atom.
Element x y z (fractional)
Rb1 0.2198 0.1218 0.3281  7 Br 3.47-3.73
Rb2 0.7802 0.8782 0.6719  7 Br 3.47-3.73
As1 0.3996 0.5583 0.1168  2 Br 2.45-2.60, 1 As 2.71
As2 0.6004 0.4417 0.8832  2 Br 2.45-2.60, 1 As 2.71
Br1 0.0441 0.2811 0.0155  1 As 2.60
Br2 0.3316 0.5265 0.6890  1 As 2.45
Br3 0.3527 0.0944 0.7188  1 As 2.75
Br4 0.6473 0.9056 0.2812  1 As 2.75
Br5 0.6684 0.4735 0.3110  1 As 2.45
Br6 0.9559 0.7189 0.9845  1 As 2.60

Values from the calculation:
Its space-group type is No. 2. Its total magnetization is 0.0 μB/f.u. Its distance to the lowest polymorph of the same formula is 0.000 eV/atom. The calculation puts the calculated total energy at -3.02 eV per atom.

=====

No. 2
First-principles (GGA-PBE) data for Rb4AsBr after structural relaxation, as listed in Alexandria via LeMat-Bulk.

Unit cell a=9.5797 b=9.5797 c=8.3381 alpha=110.15 beta=110.15 gamma=108.46
With the nearest neighbours (Å) after each atom.
Element x y z (fractional)
Rb1 0.0510 0.6862 0.9319  2 As 3.53-3.55, 2 Br 3.57-3.93, 1 Rb 3.93
Rb2 0.2636 0.3553 0.7662  2 As 3.56-3.59, 2 Br 3.58-3.61, 2 Rb 3.93-3.98
Rb3 0.3138 0.9490 0.5681  2 As 3.53-3.55, 2 Br 3.57-3.93, 1 Rb 3.93
Rb4 0.3553 0.2636 0.2662  2 As 3.56-3.59, 2 Br 3.58-3.61, 2 Rb 3.93-3.98
Rb5 0.6447 0.7364 0.7338  2 As 3.56-3.59, 2 Br 3.58-3.61, 2 Rb 3.93-3.98
Rb6 0.6862 0.0510 0.4319  2 As 3.53-3.55, 2 Br 3.57-3.93, 1 Rb 3.93
Rb7 0.7364 0.6447 0.2338  2 As 3.56-3.59, 2 Br 3.58-3.61, 2 Rb 3.93-3.98
Rb8 0.9490 0.3138 0.0681  2 As 3.53-3.55, 2 Br 3.57-3.93, 1 Rb 3.93
As1 0.3641 0.6359 0.2500  8 Rb 3.53-3.59
As2 0.6359 0.3641 0.7500  8 Rb 3.53-3.59
Br1 0.0291 0.9709 0.7500  8 Rb 3.57-3.93
Br2 0.9709 0.0291 0.2500  8 Rb 3.57-3.93

Values from the calculation:
Its space-group type is No. 15. Its total magnetization is 0.0 μB/f.u. The calculation puts the calculated total energy at -2.44 eV per atom.